1.
An optimized crystal structure of RbNiB3, computed with GGA-PBE.

Calculated values
Raw total energy   -0.058 hartree per atom
Symmetry   Pm-3m, No. 221
Formation enthalpy at 0 K   3.766 eV/atom
Energy above the lowest structure with this stoichiometry   2.453 eV per atom
DOS(E_F)   1.066 states/eV/atom

Cell: 4.730 4.730 4.730 Å, 90.00 90.00 90.00°
Positions (direct):
Rb1 0.000 0.000 0.000
Ni1 0.500 0.500 0.500
B1 0.000 0.000 0.500
B2 0.000 0.500 0.000
B3 0.500 0.000 0.000

2.
An optimized crystal structure of Rb3NiB, computed with GGA-PBE.

Calculated values
Raw total energy   -0.065 hartree per atom
Symmetry   Pm-3m, No. 221
Formation enthalpy at 0 K   1.313 eV/atom
Energy above the lowest structure with this stoichiometry   0.000 eV per atom
DOS(E_F)   2.174 states/eV/atom

Cell: 6.113 6.113 6.113 Å, 90.00 90.00 90.00°
Positions (direct):
Rb1 0.000 0.000 0.500
Rb2 0.000 0.500 0.000
Rb3 0.500 0.000 0.000
Ni1 0.500 0.500 0.500
B1 0.000 0.000 0.000

3.
An optimized crystal structure of RbNiB3, computed with GGA-PBE.

Calculated values
Raw total energy   -0.149 hartree per atom
Symmetry   Pm-3m, No. 221
Formation enthalpy at 0 K   1.313 eV/atom
Energy above the lowest structure with this stoichiometry   0.000 eV per atom
DOS(E_F)   0.106 states/eV/atom

Cell: 4.066 4.066 4.066 Å, 90.00 90.00 90.00°
Positions (direct):
Rb1 0.000 0.000 0.000
Ni1 0.500 0.500 0.500
B1 0.000 0.500 0.500
B2 0.500 0.000 0.500
B3 0.500 0.500 0.000

4.
An optimized crystal structure of RbNi3B, computed with GGA-PBE.

Calculated values
Raw total energy   -0.164 hartree per atom
Symmetry   Pm-3m, No. 221
Formation enthalpy at 0 K   0.543 eV/atom
Energy above the lowest structure with this stoichiometry   0.000 eV per atom
DOS(E_F)   0.274 states/eV/atom

Cell: 4.130 4.130 4.130 Å, 90.00 90.00 90.00°
Positions (direct):
Rb1 0.000 0.000 0.000
Ni1 0.000 0.500 0.500
Ni2 0.500 0.000 0.500
Ni3 0.500 0.500 0.000
B1 0.500 0.500 0.500

5.
An optimized crystal structure of RbNi3B, computed with GGA-PBE.

Calculated values
Raw total energy   -0.076 hartree per atom
Symmetry   Pm-3m, No. 221
Formation enthalpy at 0 K   2.930 eV/atom
Energy above the lowest structure with this stoichiometry   2.387 eV per atom
DOS(E_F)   0.363 states/eV/atom

Cell: 4.617 4.617 4.617 Å, 90.00 90.00 90.00°
Positions (direct):
Rb1 0.000 0.000 0.000
Ni1 0.000 0.000 0.500
Ni2 0.000 0.500 0.000
Ni3 0.500 0.000 0.000
B1 0.500 0.500 0.500

6.
An optimized crystal structure of Rb2NiB, computed with GGA-PBE.

Calculated values
Raw total energy   -0.112 hartree per atom
Symmetry   I-42d, No. 122
Formation enthalpy at 0 K   0.542 eV/atom
DOS(E_F)   0.399 states/eV/atom

Cell: 9.058 9.058 9.058 Å, 92.56 92.56 155.62°
Positions (direct):
Rb1 0.375 0.161 0.286
Rb2 0.839 0.125 0.214
Rb3 0.875 0.089 0.714
Rb4 0.911 0.625 0.786
Ni1 0.250 0.750 0.500
Ni2 0.500 0.500 0.000
B1 0.000 0.000 0.000
B2 0.750 0.250 0.500

7.
An optimized crystal structure of RbNiB2Rh, computed with GGA-PBE.

Calculated values
Raw total energy   -0.171 hartree per atom
Symmetry   P4/mmm, No. 123
Formation enthalpy at 0 K   0.826 eV/atom
DOS(E_F)   0.849 states/eV/atom

Cell: 4.158 4.158 4.983 Å, 90.00 90.00 90.00°
Positions (direct):
Rb1 0.000 0.000 0.000
Ni1 0.500 0.500 0.000
B1 0.000 0.500 0.500
B2 0.500 0.000 0.500
Rh1 0.500 0.500 0.500

8.
An optimized crystal structure of RbNiBSb2, computed with GGA-PBE.

Calculated values
Raw total energy   -0.140 hartree per atom
Symmetry   P4/mmm, No. 123
DOS(E_F)   0.919 states/eV/atom

Cell: 5.500 5.500 3.921 Å, 90.00 90.00 90.00°
Positions (direct):
Rb1 0.000 0.000 0.000
Ni1 0.500 0.500 0.500
B1 0.500 0.500 0.000
Sb1 0.000 0.500 0.500
Sb2 0.500 0.000 0.500

9.
An optimized crystal structure of Re3NiB, computed with GGA-PBE.

Calculated values
Raw total energy   -0.351 hartree per atom
Symmetry   Pm-3m, No. 221
Formation enthalpy at 0 K   0.419 eV/atom
Energy above the lowest structure with this stoichiometry   0.000 eV per atom
DOS(E_F)   1.192 states/eV/atom

Cell: 4.067 4.067 4.067 Å, 90.00 90.00 90.00°
Positions (direct):
Re1 0.000 0.000 0.500
Re2 0.000 0.500 0.000
Re3 0.500 0.000 0.000
Ni1 0.500 0.500 0.500
B1 0.000 0.000 0.000

10.
An optimized crystal structure of ReNi2B, computed with GGA-PBE.

Calculated values
Raw total energy   -0.258 hartree per atom
Symmetry   Fm-3m, No. 225
Formation enthalpy at 0 K   0.643 eV/atom
Energy above the lowest structure with this stoichiometry   0.240 eV per atom
DOS(E_F)   1.204 states/eV/atom

Cell: 3.970 3.970 3.970 Å, 60.00 60.00 60.00°
Positions (direct):
Re1 0.000 0.000 0.000
Ni1 0.250 0.250 0.250
Ni2 0.750 0.750 0.750
B1 0.500 0.500 0.500

11.
An optimized crystal structure of Re2NiB, computed with GGA-PBE.

Calculated values
Raw total energy   -0.311 hartree per atom
Symmetry   I-42d, No. 122
Formation enthalpy at 0 K   0.867 eV/atom
Energy above the lowest structure with this stoichiometry   0.556 eV per atom
DOS(E_F)   0.623 states/eV/atom

Cell: 8.588 8.588 8.588 Å, 155.52 155.52 34.90°
Positions (direct):
Re1 0.094 0.625 0.969
Re2 0.375 0.344 0.469
Re3 0.656 0.125 0.031
Re4 0.875 0.906 0.531
Ni1 0.250 0.750 0.500
Ni2 0.500 0.500 0.000
B1 0.000 0.000 0.000
B2 0.750 0.250 0.500

12.
An optimized crystal structure of Re2Ni21B6, computed with GGA-PBE.

Calculated values
Raw total energy   -0.243 hartree per atom
Symmetry   Fm-3m, No. 225
Formation enthalpy at 0 K   -0.182 eV/atom
DOS(E_F)   0.804 states/eV/atom

Cell: 7.413 7.413 7.413 Å, 60.00 60.00 60.00°
Positions (direct):
Re1 0.250 0.250 0.250
Re2 0.750 0.750 0.750
Ni1 0.000 0.000 0.000
Ni2 0.000 0.000 0.341
Ni3 0.000 0.000 0.659
Ni4 0.000 0.341 0.000
Ni5 0.000 0.341 0.659
Ni6 0.000 0.659 0.000
Ni7 0.000 0.659 0.341
Ni8 0.150 0.617 0.617
Ni9 0.341 0.000 0.000
Ni10 0.341 0.000 0.659
Ni11 0.341 0.659 0.000
Ni12 0.383 0.383 0.383
Ni13 0.383 0.383 0.850
Ni14 0.383 0.850 0.383
Ni15 0.617 0.150 0.617
Ni16 0.617 0.617 0.150
Ni17 0.617 0.617 0.617
Ni18 0.659 0.000 0.000
Ni19 0.659 0.000 0.341
Ni20 0.659 0.341 0.000
Ni21 0.850 0.383 0.383
B1 0.268 0.268 0.732
B2 0.268 0.732 0.268
B3 0.268 0.732 0.732
B4 0.732 0.268 0.268
B5 0.732 0.268 0.732
B6 0.732 0.732 0.268

13.
An optimized crystal structure of Re2NiB, computed with GGA-PBE.

Calculated values
Raw total energy   -0.322 hartree per atom
Symmetry   R-3m, No. 166
Formation enthalpy at 0 K   0.568 eV/atom
Energy above the lowest structure with this stoichiometry   0.257 eV per atom
DOS(E_F)   1.536 states/eV/atom

Cell: 8.016 8.016 8.016 Å, 19.98 19.98 19.98°
Positions (direct):
Re1 0.104 0.104 0.104
Re2 0.896 0.896 0.896
Ni1 0.000 0.000 0.000
B1 0.500 0.500 0.500

14.
An optimized crystal structure of Re2NiB, computed with GGA-PBE.

Calculated values
Raw total energy   -0.332 hartree per atom
Symmetry   Fm-3m, No. 225
Formation enthalpy at 0 K   0.311 eV/atom
Energy above the lowest structure with this stoichiometry   0.000 eV per atom
DOS(E_F)   1.011 states/eV/atom

Cell: 4.045 4.045 4.045 Å, 60.00 60.00 60.00°
Positions (direct):
Re1 0.250 0.250 0.250
Re2 0.750 0.750 0.750
Ni1 0.000 0.000 0.000
B1 0.500 0.500 0.500

15.
An optimized crystal structure of ReNi2B, computed with GGA-PBE.

Calculated values
Raw total energy   -0.267 hartree per atom
Symmetry   I-42d, No. 122
Formation enthalpy at 0 K   0.403 eV/atom
Energy above the lowest structure with this stoichiometry   0.000 eV per atom
DOS(E_F)   0.978 states/eV/atom

Cell: 9.014 9.014 9.014 Å, 159.46 159.46 29.21°
Positions (direct):
Re1 0.000 0.000 0.000
Re2 0.750 0.250 0.500
Ni1 0.137 0.625 0.012
Ni2 0.375 0.387 0.512
Ni3 0.613 0.125 0.988
Ni4 0.875 0.863 0.488
B1 0.250 0.750 0.500
B2 0.500 0.500 0.000

16.
An optimized crystal structure of ScRe2NiB, computed with GGA-PBE.

Calculated values
Raw total energy   -0.213 hartree per atom
Symmetry   P4/mmm, No. 123
Formation enthalpy at 0 K   2.938 eV/atom
DOS(E_F)   1.087 states/eV/atom

Cell: 4.675 4.675 4.169 Å, 90.00 90.00 90.00°
Positions (direct):
Sc1 0.000 0.000 0.000
Re1 0.000 0.500 0.000
Re2 0.500 0.000 0.000
Ni1 0.000 0.000 0.500
B1 0.500 0.500 0.500

17.
An optimized crystal structure of Re2NiSnB, computed with GGA-PBE.

Calculated values
Raw total energy   -0.295 hartree per atom
Symmetry   P4/mmm, No. 123
Formation enthalpy at 0 K   0.232 eV/atom
DOS(E_F)   0.568 states/eV/atom

Cell: 4.219 4.219 3.919 Å, 90.00 90.00 90.00°
Positions (direct):
Re1 0.000 0.500 0.000
Re2 0.500 0.000 0.000
Ni1 0.000 0.000 0.500
Sn1 0.500 0.500 0.500
B1 0.000 0.000 0.000

18.
An optimized crystal structure of ReNiBTe2, computed with GGA-PBE.

Calculated values
Raw total energy   -0.189 hartree per atom
Symmetry   P4/mmm, No. 123
DOS(E_F)   0.966 states/eV/atom

Cell: 5.242 5.242 4.012 Å, 90.00 90.00 90.00°
Positions (direct):
Re1 0.000 0.000 0.000
Ni1 0.500 0.500 0.500
B1 0.000 0.000 0.500
Te1 0.000 0.500 0.000
Te2 0.500 0.000 0.000

19.
An optimized crystal structure of ReNiB2W, computed with GGA-PBE.

Calculated values
Raw total energy   -0.267 hartree per atom
Symmetry   P4/mmm, No. 123
Formation enthalpy at 0 K   1.639 eV/atom
DOS(E_F)   0.819 states/eV/atom

Cell: 4.010 4.010 4.936 Å, 90.00 90.00 90.00°
Positions (direct):
Re1 0.000 0.000 0.000
Ni1 0.500 0.500 0.500
B1 0.000 0.500 0.000
B2 0.500 0.000 0.000
W1 0.000 0.000 0.500

20.
An optimized crystal structure of NiBRh2, computed with GGA-PBE.

Calculated values
Raw total energy   -0.251 hartree per atom
Symmetry   R-3m, No. 166
Formation enthalpy at 0 K   -0.045 eV/atom
DOS(E_F)   1.367 states/eV/atom

Cell: 7.390 7.390 7.390 Å, 21.50 21.50 21.50°
Positions (direct):
Ni1 0.000 0.000 0.000
B1 0.500 0.500 0.500
Rh1 0.233 0.233 0.233
Rh2 0.767 0.767 0.767